1.
The following is a PBE calculation of an optimized crystal structure of TaAl2, from Alexandria.

Structure (extended XYZ):
```
6
Lattice="-4.7473 -2.0071 1.7182 -3.6339 -4.0388 0.0093 1.6600 -3.7335 5.5203" Properties=species:S:1:pos:R:3 pbc="T T T"
Ta -0.6837 -5.2209 5.7617
Ta -6.9669 -7.9861 4.9556
Al -6.6870 -9.7224 7.2023
Al -4.5066 -6.5593 4.8622
Al -2.2523 -3.2777 2.4295
Al -4.6684 -4.7214 2.5717
```

E_tot	-6.663	eV per atom
calculated volume	100.2	Å³/cell
ΔH_f (0 K)	-0.22	eV/atom
SG	Cm (8)

2.
The following is a PBE calculation of an optimized crystal structure of Ta4Al3, from Alexandria.

Structure (extended XYZ):
```
7
Lattice="-1.7263 1.7263 10.2940 1.7263 -1.7263 10.2940 1.7263 1.7263 -10.2940" Properties=species:S:1:pos:R:3 pbc="T T T"
Ta 0.0000 0.0000 8.7313
Ta 0.0000 0.0000 2.8997
Ta 0.0000 0.0000 11.8568
Ta 0.0000 0.0000 17.6883
Al 0.0000 0.0000 14.7296
Al 0.0000 0.0000 5.8585
Al 0.0000 0.0000 0.0000
```

E_tot	-8.503	eV per atom
calculated volume	122.7	Å³/cell
ΔH_f (0 K)	-0.13	eV/atom
SG	I4/mmm (139)

3.
The following is a PBE calculation of an optimized crystal structure of TaAl, from Alexandria.

Structure (extended XYZ):
```
4
Lattice="-0.0428 -2.8725 -0.2748 1.9545 0.3743 2.0901 -6.0929 -0.4622 5.7804" Properties=species:S:1:pos:R:3 pbc="T T T"
Al -6.0627 -0.4599 5.7517
Al -3.6440 -1.5980 5.2716
Ta -3.1098 -0.2359 2.9503
Ta -0.5040 -1.3598 2.2926
```

E_tot	-7.878	eV per atom
calculated volume	68.5	Å³/cell
ΔH_f (0 K)	-0.08	eV/atom
SG	Cmme (67)

4.
The following is a PBE calculation of an optimized crystal structure of Ta3Al4, from Alexandria.

Structure (extended XYZ):
```
7
Lattice="2.7146 -4.7018 0.0000 2.7146 4.7018 0.0000 0.0000 0.0000 4.9956" Properties=species:S:1:pos:R:3 pbc="T T T"
Ta 2.7146 0.0000 0.0000
Ta 1.3573 -2.3509 0.0000
Ta 1.3573 2.3509 0.0000
Al 0.0000 0.0000 3.7587
Al 2.7146 -1.5673 2.4978
Al 2.7146 1.5673 2.4978
Al 0.0000 0.0000 1.2369
```

E_tot	-7.175	eV per atom
calculated volume	127.5	Å³/cell
ΔH_f (0 K)	0.04	eV/atom
SG	P6/mmm (191)

5.
The following is a PBE calculation of an optimized crystal structure of TaAl, from Alexandria.

Structure (extended XYZ):
```
4
Lattice="-3.0936 -1.2590 -0.9356 -0.6123 -0.9355 3.2834 -2.4202 5.1847 1.0259" Properties=species:S:1:pos:R:3 pbc="T T T"
Al -2.4471 0.1756 1.4258
Al -0.0109 0.0233 0.0046
Ta -1.2430 2.6628 0.5269
Ta -3.6352 2.7208 1.9294
```

E_tot	-7.928	eV per atom
calculated volume	69.9	Å³/cell
ΔH_f (0 K)	-0.13	eV/atom
SG	P4/nmm (129)

6.
The following is a PBE calculation of an optimized crystal structure of Ta3Al, from Alexandria.

Structure (extended XYZ):
```
16
Lattice="-4.6414 2.9597 -0.8049 -1.7072 -1.2864 5.1144 4.2002 7.4796 3.2833" Properties=species:S:1:pos:R:3 pbc="T T T"
Ta 0.8314 8.9602 3.9114
Ta -1.1321 9.0248 6.2762
Ta -1.0163 0.1282 1.3167
Ta -2.9799 0.1928 3.6814
Ta -3.0243 4.4436 0.1698
Ta -2.7264 3.0662 2.9267
Ta -1.1678 5.4000 2.3487
Ta 0.5780 6.0868 4.6661
Ta -0.9807 3.7530 5.2442
Ta 0.9829 3.6884 2.8794
Ta -3.1313 5.4646 4.7134
Ta 0.8758 4.7094 7.4230
Al -0.8410 2.9072 0.8769
Al -1.3074 6.2458 6.7159
Al -1.6729 7.6663 3.9473
Al -0.4755 1.4867 3.6455
```

E_tot	-9.903	eV per atom
calculated volume	283.3	Å³/cell
ΔH_f (0 K)	-0.08	eV/atom
SG	Pnma (62)

7.
The following is a PBE calculation of an optimized crystal structure of Ta2Al, from Alexandria.

Structure (extended XYZ):
```
3
Lattice="-0.7383 -0.7001 -4.5730 -2.7471 -2.0952 3.1640 -1.7180 2.1698 -0.0548" Properties=species:S:1:pos:R:3 pbc="T T T"
Al 0.0000 0.0000 0.0000
Ta -2.5538 0.2821 -2.0306
Ta -2.6496 -0.9077 0.5667
```

E_tot	-9.217	eV per atom
calculated volume	52.6	Å³/cell
ΔH_f (0 K)	-0.07	eV/atom
SG	P-3m1 (164)

8.
The following is a PBE calculation of an optimized crystal structure of TaAl, from Alexandria.

Structure (extended XYZ):
```
4
Lattice="5.5712 -0.0112 0.0033 2.5831 4.9338 0.0070 -3.3080 -3.7384 2.4693" Properties=species:S:1:pos:R:3 pbc="T T T"
Al 4.8172 1.2205 2.4536
Al 3.5765 -1.3053 1.6770
Ta 0.7789 -1.2202 2.4499
Ta 2.0436 1.1467 1.6774
```

E_tot	-7.919	eV per atom
calculated volume	68.1	Å³/cell
ΔH_f (0 K)	-0.12	eV/atom
SG	C2/m (12)

9.
The following is a PBE calculation of an optimized crystal structure of Ta3Al, from Alexandria.

Structure (extended XYZ):
```
8
Lattice="-1.8159 3.0184 -4.2884 -4.7784 -2.2601 1.6905 -0.7072 3.6306 2.8548" Properties=species:S:1:pos:R:3 pbc="T T T"
Al -4.4481 3.1735 0.5977
Al -2.8534 1.2155 -0.3408
Ta -1.6000 2.8459 1.7197
Ta -3.4771 2.8369 -2.5573
Ta -5.1112 -0.0746 0.7405
Ta -2.1903 4.4635 -0.4836
Ta -3.8244 1.5520 2.8142
Ta -5.7016 1.5430 -1.4629
```

E_tot	-9.861	eV per atom
calculated volume	141.7	Å³/cell
ΔH_f (0 K)	-0.04	eV/atom
SG	Cmcm (63)

10.
The following is a PBE calculation of an optimized crystal structure of Ta24Al19, from Alexandria.

Structure (extended XYZ):
```
86
Lattice="9.9226 0.0000 0.0000 0.0000 9.9277 0.0009 0.0000 2.6402 14.6841" Properties=species:S:1:pos:R:3 pbc="T T T"
Ta 3.9867 6.5975 4.6394
Ta 7.8990 7.9861 0.3357
Ta 9.7956 2.5563 4.0742
Ta 8.6995 5.1983 10.5574
Ta 6.9848 4.3423 7.6773
Ta 5.7547 8.7186 6.0514
Ta 6.3468 1.6368 7.5467
Ta 4.8343 3.7276 3.2683
Ta 2.7131 11.9355 14.3813
Ta 1.5692 10.2549 2.4262
Ta 9.2352 5.1852 5.2796
Ta 7.2095 0.6324 0.3037
Ta 4.1679 3.8493 8.6336
Ta 0.6873 7.3827 9.4054
Ta 2.9378 8.2256 7.0078
Ta 5.6486 11.4692 12.6222
Ta 5.5065 8.7634 8.6784
Ta 5.0883 8.8403 11.4168
Ta 3.4151 9.3048 14.2406
Ta 3.3921 6.6111 9.7678
Ta 8.3534 2.3131 12.2588
Ta 9.2383 2.4914 9.3615
Ta 3.5758 10.9311 7.1383
Ta 1.3855 7.2874 14.4799
Ta 5.9359 5.9705 10.0456
Ta 2.2482 5.6516 7.0388
Ta 6.1844 8.8420 3.2158
Ta 0.6843 10.0765 5.3235
Ta 0.5452 10.0885 13.3492
Ta 2.0235 4.5818 14.3494
Ta 0.1270 10.0116 10.6108
Ta 1.2231 7.3697 4.1276
Ta 7.6744 6.9164 7.6462
Ta 8.9480 9.6142 2.7040
Ta 6.5305 5.9569 4.9172
Ta 0.9746 2.9537 11.9810
Ta 5.6456 6.1352 2.0199
Ta 0.7934 7.4931 1.2920
Ta 8.5371 5.2806 0.2051
Ta 9.3774 2.4794 1.3359
Ta 8.3764 9.5472 7.7870
Ta 1.5462 3.0208 6.8981
Ta 9.1292 5.0748 13.3930
Ta 4.2740 1.0987 2.0629
Ta 4.2770 6.4328 12.6651
Ta 3.7382 3.7259 11.4692
Ta 6.5075 3.2632 0.4444
Ta 4.4161 3.8045 6.0067
Al 0.0000 0.0000 0.0000
Al 4.6520 3.9385 14.0843
Al 1.0081 10.2291 7.9754
Al 2.2790 8.2591 11.8871
Al 8.3809 8.0487 5.1213
Al 2.6822 1.9751 4.5446
Al 6.5029 4.4049 12.4629
Al 5.9694 8.6228 14.0522
Al 5.2706 8.6294 0.6007
Al 2.0305 4.5605 4.5756
Al 2.0808 3.0004 2.1877
Al 5.2348 1.3003 4.8352
Al 2.9308 10.8445 11.9181
Al 3.4196 8.1630 2.2221
Al 7.2403 10.5928 10.1404
Al 1.5417 4.5193 9.5637
Al 1.5893 5.6963 11.8923
Al 2.8805 9.2844 9.5302
Al 7.0809 6.8878 12.4834
Al 9.6491 7.5843 12.1777
Al 2.1196 2.0364 9.5432
Al 6.9918 1.7235 2.7669
Al 7.8418 9.5675 12.4974
Al 8.3332 6.8716 2.7927
Al 7.0421 3.2835 5.1549
Al 2.8417 5.6802 2.2016
Al 4.6878 11.2677 9.8499
Al 7.6435 4.3088 2.7979
Al 7.8921 8.0074 10.1094
Al 9.6133 4.9856 7.9423
Al 0.2735 4.9837 2.5074
Al 3.9532 3.9451 0.6329
Al 3.3720 9.3401 4.5507
Al 7.8030 10.5315 5.1418
Al 6.5506 3.2279 10.1343
Al 8.9145 2.3388 6.7096
Al 4.9613 6.2840 7.3425
Al 0.3093 7.5823 6.7427
```

E_tot	-8.538	eV per atom
calculated volume	1446.5	Å³/cell
ΔH_f (0 K)	-0.27	eV/atom
SG	P2_1/c (14)

11.
The following is a PBE calculation of an optimized crystal structure of TaAl2, from Alexandria.

Structure (extended XYZ):
```
3
Lattice="-3.5234 0.8016 -3.1491 1.6005 -3.6144 -2.7108 -1.6426 -1.7682 1.3878" Properties=species:S:1:pos:R:3 pbc="T T T"
Ta -0.8213 -0.8841 0.6939
Al -1.7617 0.4008 -1.5746
Al 0.8003 -1.8072 -1.3554
```

E_tot	-6.380	eV per atom
calculated volume	64.0	Å³/cell
ΔH_f (0 K)	0.07	eV/atom
SG	P4/mmm (123)

12.
The following is a PBE calculation of an optimized crystal structure of TaAl, from Alexandria.

Structure (extended XYZ):
```
4
Lattice="-4.2183 -0.7810 -2.8578 -2.5185 -4.3689 1.0683 1.8310 3.9263 2.7933" Properties=species:S:1:pos:R:3 pbc="T T T"
Al -2.2071 0.8187 0.7096
Al -2.6987 -2.0423 0.2942
Ta -3.5479 -0.2477 -1.6687
Ta -1.3579 -0.9758 2.6724
```

E_tot	-7.986	eV per atom
calculated volume	67.5	Å³/cell
ΔH_f (0 K)	-0.19	eV/atom
SG	I4_1/amd (141)